# 1
The following is a DFT calculation (PBE) of a relaxed structure of Tc2TeOs.

abc: 9.413 2.965 4.701
angles: 90.00 96.18 90.00
Space group Cm (No. 8)
Asymmetric unit:
Tc  0.000  0.000  0.000 [2 per cell]
Tc  0.230  0.500  0.246 [2 per cell]
Te  0.494  0.000  0.503 [2 per cell]
Os  0.267  0.000  0.799 [2 per cell]

## Properties
Total magnetization in μB per formula unit: 0.0
Final energy in eV/cell: -66.57
Energy above the lowest structure with this stoichiometry in meV per atom: 34
Formation energy (no corrections) in eV/atom: 0.454

***

# 2
The following is a DFT calculation (PBE) of a relaxed structure of Nd3PbN.

abc: 5.038 5.038 5.038
angles: 90.00 90.00 90.00
Space group Pm-3m (No. 221)
Asymmetric unit:
Nd  0.000  0.000  0.500 [3 per cell]
Pb  0.500  0.500  0.500 [1 per cell]
N  0.000  0.000  0.000 [1 per cell]

## Properties
Total magnetization in μB per formula unit: 0.0
Final energy in eV/cell: -30.73
Energy above the lowest structure with this stoichiometry in meV per atom: 0
Formation energy (no corrections) in eV/atom: -0.879

***

# 3
The following is a DFT calculation (PBE) of a relaxed structure of LaAlIr2.

abc: 2.9517 2.9517 29.1721
angles: 90.00 90.00 120.00
Space group R3m (No. 160, hexagonal axes)
Asymmetric unit:
La  0.0000  0.0000  0.0000 [3 per cell]
Al  0.0000  0.0000  0.2321 [3 per cell]
Ir  0.0000  0.0000  0.4990 [3 per cell]
Ir  0.0000  0.0000  0.7578 [3 per cell]

## Properties
Total magnetization in μB per formula unit: 0.8
Final energy in eV/cell: -77.25
Calculated formation energy in eV/atom: 0.160

***

# 4
The following is a DFT calculation (PBE) of a relaxed structure of Dy5Tl2Sb.

abc: 7.553 7.553 7.825
angles: 90.00 90.00 90.00
Space group I4mm (No. 107)
Asymmetric unit:
Dy  0.000  0.000  0.000 [2 per cell]
Dy  0.235  0.235  0.704 [8 per cell]
Tl  0.000  0.500  0.464 [4 per cell]
Sb  0.000  0.000  0.407 [2 per cell]

## Properties
Total magnetization in μB per formula unit: 0.0
Final energy in eV/cell: -68.92
Energy above the lowest structure with this stoichiometry in meV per atom: 141
Formation energy (no corrections) in eV/atom: -0.324

***

# 5
The following is a DFT calculation (PBE) of a relaxed structure of Ho2Ga6Cu3.

abc: 7.5323 7.5323 4.0096
angles: 90.00 90.00 120.00
Space group P-62m (No. 189)
Asymmetric unit:
Ho  0.3333  0.6667  0.0000 [2 per cell]
Ga  0.0000  0.3138  0.5000 [3 per cell]
Ga  0.0000  0.8046  0.0000 [3 per cell]
Cu  0.0000  0.6324  0.5000 [3 per cell]

## Properties
Total magnetization in μB per formula unit: 0.0
Final energy in eV/cell: -43.89
Calculated formation energy in eV/atom: -0.390

***

# 6
The following is a DFT calculation (PBE) of a relaxed structure of AlTcOF2.

abc: 4.324 4.324 3.796
angles: 90.00 90.00 90.00
Space group P4/mmm (No. 123)
Asymmetric unit:
Al  0.000  0.000  0.000 [1 per cell]
Tc  0.500  0.500  0.500 [1 per cell]
O  0.500  0.500  0.000 [1 per cell]
F  0.000  0.500  0.500 [2 per cell]

## Properties
Total magnetization in μB per formula unit: 0.0
Final energy in eV/cell: -28.24
Energy above the lowest structure with this stoichiometry in meV per atom: 364
Formation energy (no corrections) in eV/atom: -1.085

***

# 7
The following is a DFT calculation (PBE) of a relaxed structure of ScFeCoSi.

abc: 5.834 5.834 5.834
angles: 90.00 90.00 90.00
Space group F-43m (No. 216)
Asymmetric unit:
Sc  0.000  0.000  0.000 [4 per cell]
Fe  0.250  0.250  0.750 [4 per cell]
Co  0.250  0.250  0.250 [4 per cell]
Si  0.000  0.000  0.500 [4 per cell]

## Properties
Total magnetization in μB per formula unit: 0.0
Final energy in eV/cell: -117.53
Formation energy (no corrections) in eV/atom: -0.515

***

# 8
The following is a DFT calculation (PBE) of a relaxed structure of PmNd5Dy12.

abc: 5.983 10.388 10.398
angles: 66.66 89.99 89.99
Space group P-1 (No. 2)
Asymmetric unit:
Pm  0.000  0.000  0.000 [1 per cell]
Nd  0.000  0.334  0.334 [2 per cell]
Nd  0.500  0.166  0.166 [2 per cell]
Nd  0.500  0.500  0.500 [1 per cell]
Dy  0.053  0.656  0.011 [2 per cell]
Dy  0.053  0.989  0.344 [2 per cell]
Dy  0.055  0.321  0.679 [2 per cell]
Dy  0.445  0.822  0.178 [2 per cell]
Dy  0.447  0.155  0.511 [2 per cell]
Dy  0.447  0.489  0.845 [2 per cell]

## Properties
Total magnetization in μB per formula unit: 0.0
Final energy in eV/cell: -82.03
Calculated formation energy in eV/atom: 0.099